## Rb2AgHgO (PBE)

Data for crystalline Rb2AgHgO at its relaxed geometry.

Output
ΔE_f (raw) ... -455 meV/atom
Crystal system ... tetragonal

```
data_Rb2AgHgO
_symmetry_space_group_name_H-M 'P 4/m m m'
_symmetry_Int_Tables_number 123
_symmetry_space_group_name_Hall '-P 4 2'
_cell_length_a 6.036
_cell_length_b 6.036
_cell_length_c 4.252
_cell_angle_alpha 90.00
_cell_angle_beta 90.00
_cell_angle_gamma 90.00
loop_
_atom_site_label
_atom_site_type_symbol
_atom_site_fract_x
_atom_site_fract_y
_atom_site_fract_z
_atom_site_occupancy
Rb1 Rb 0.000 0.500 0.000 1
Ag1 Ag 0.000 0.000 0.500 1
Hg1 Hg 0.500 0.500 0.500 1
O1 O 0.000 0.000 0.000 1
```

## Tl3HgS (PBE)

Data for crystalline Tl3HgS at its relaxed geometry.

Output
Offset from the most stable computed form ... 22.3 kJ per mole of atoms
ΔE_f (raw) ... 90 meV/atom
Crystal system ... cubic

```
data_Tl3HgS
_symmetry_space_group_name_H-M 'P m -3 m'
_symmetry_Int_Tables_number 221
_symmetry_space_group_name_Hall '-P 4 2 3'
_cell_length_a 5.892
_cell_length_b 5.892
_cell_length_c 5.892
_cell_angle_alpha 90.00
_cell_angle_beta 90.00
_cell_angle_gamma 90.00
loop_
_atom_site_label
_atom_site_type_symbol
_atom_site_fract_x
_atom_site_fract_y
_atom_site_fract_z
_atom_site_occupancy
Tl1 Tl 0.000 0.000 0.500 1
Hg1 Hg 0.500 0.500 0.500 1
S1 S 0.000 0.000 0.000 1
```

## Dy2ErPt (PBE)

Data for crystalline Dy2ErPt at its relaxed geometry.

Output
Offset from the most stable computed form ... 4.0 kJ per mole of atoms
Crystal system ... orthorhombic
Formation energy ... -0.683 eV/atom

```
data_Dy2ErPt
_symmetry_space_group_name_H-M 'C m c m'
_symmetry_Int_Tables_number 63
_symmetry_space_group_name_Hall '-C 2c 2'
_cell_length_a 3.769
_cell_length_b 12.060
_cell_length_c 9.452
_cell_angle_alpha 90.00
_cell_angle_beta 90.00
_cell_angle_gamma 90.00
loop_
_atom_site_label
_atom_site_type_symbol
_atom_site_fract_x
_atom_site_fract_y
_atom_site_fract_z
_atom_site_occupancy
Dy1 Dy 0.000 0.136 0.064 1
Er1 Er 0.000 0.428 0.250 1
Pt1 Pt 0.000 0.258 0.750 1
```

## Pm2ErGa6 (PBE)

Data for crystalline Pm2ErGa6 at its relaxed geometry.

Output
Offset from the most stable computed form ... 0.0 kJ per mole of atoms
Crystal system ... hexagonal
Formation energy ... -0.655 eV/atom

```
data_Pm2ErGa6
_symmetry_space_group_name_H-M 'P 6/m m m'
_symmetry_Int_Tables_number 191
_symmetry_space_group_name_Hall '-P 6 2'
_cell_length_a 7.3417
_cell_length_b 7.3417
_cell_length_c 4.2012
_cell_angle_alpha 90.00
_cell_angle_beta 90.00
_cell_angle_gamma 120.00
loop_
_atom_site_label
_atom_site_type_symbol
_atom_site_fract_x
_atom_site_fract_y
_atom_site_fract_z
_atom_site_occupancy
Pm1 Pm 0.3333 0.6667 0.0000 1
Er1 Er 0.0000 0.0000 0.0000 1
Ga1 Ga 0.0000 0.3320 0.5000 1
```